DFT (GGA-PBE) results for a relaxed CaErIn crystal.

Calculated values
- Magnetization: 0.000 μB/f.u.
- Final energy: -3.46 eV/atom
- Polymorph energy (0 for the lowest one): 0 meV/atom
- N(E_F): 1.91 states/eV per cell

Lattice parameters (Å, degrees): 5.392 5.392 6.873 90.00 90.00 119.99
Positions (direct):
Ca 0.000 0.500 0.500
In 0.667 0.833 0.250
Ca 0.000 0.500 0.000
In 0.333 0.167 0.750
Er 0.667 0.833 0.750
Er 0.333 0.167 0.250

***

DFT (GGA-PBE) results for a relaxed CaErIn4 crystal.

Calculated values
- Magnetization: 0.000 μB/f.u.
- Final energy: -3.28 eV/atom
- Polymorph energy (0 for the lowest one): 15 meV/atom
- N(E_F): 3.04 states/eV per cell

Lattice parameters (Å, degrees): 3.609 4.978 8.691 90.00 90.05 90.00
Positions (direct):
Ca 0.500 0.000 0.000
In 0.032 0.000 0.664
In 0.979 0.500 0.831
Er 0.500 0.500 0.500
In 0.021 0.500 0.169
In 0.968 0.000 0.336

***

DFT (GGA-PBE) results for a relaxed CaEr3In12 crystal.

Calculated values
- Magnetization: 0.000 μB/f.u.
- Final energy: -3.40 eV/atom
- N(E_F): 6.92 states/eV per cell

Lattice parameters (Å, degrees): 4.646 4.646 18.638 90.00 90.00 90.00
Positions (direct):
Ca 0.000 0.000 0.000
In 0.500 0.500 0.500
In 0.000 0.500 0.128
Er 0.000 0.000 0.746
In 0.000 0.500 0.872
In 0.500 0.000 0.623
In 0.000 0.500 0.377
In 0.000 0.500 0.623
Er 0.000 0.000 0.254
In 0.500 0.500 0.000
In 0.500 0.000 0.377
Er 0.000 0.000 0.500
In 0.500 0.000 0.872
In 0.500 0.500 0.251
In 0.500 0.000 0.128
In 0.500 0.500 0.749

***

DFT (GGA-PBE) results for a relaxed Ca2ErIn4 crystal.

Calculated values
- Magnetization: 0.000 μB/f.u.
- Final energy: -3.11 eV/atom
- N(E_F): 2.78 states/eV per cell

Lattice parameters (Å, degrees): 5.301 5.301 8.275 108.68 108.68 90.00
Positions (direct):
Ca 0.749 0.749 0.497
Er 0.000 0.000 0.000
In 0.891 0.391 0.782
Ca 0.251 0.251 0.503
In 0.391 0.891 0.782
In 0.609 0.109 0.218
In 0.109 0.609 0.218

***

> Number 1 is which compound?

CaErIn

***

> What is the N(E_F) in the second record?

3.04 states/eV per cell